# DyHoNb2Sn2 | OQMD | PBE | optimized geometry
data_DyHoNb2Sn2
_chemical_formula_sum 'Dy1 Ho1 Nb2 Sn2'
_cell_length_a 4.205
_cell_length_b 4.205
_cell_length_c 8.086
_cell_angle_alpha 90.00
_cell_angle_beta 90.00
_cell_angle_gamma 90.00
_space_group_name_H-M_alt 'P 4 m m'
_space_group_IT_number 99
_space_group_name_Hall 'P 4 -2'
loop_
_atom_site_label
_atom_site_type_symbol
_atom_site_fract_x
_atom_site_fract_y
_atom_site_fract_z
Dy1 Dy 0.000 0.000 0.000
Ho1 Ho 0.500 0.500 0.694
Nb1 Nb 0.000 0.500 0.348
Sn1 Sn 0.000 0.000 0.604
Sn2 Sn 0.500 0.500 0.092
# **Final energy**: -6.67 eV per atom

# LuHgPd | OQMD | PBE | optimized geometry
data_LuHgPd
_chemical_formula_sum 'Lu2 Hg2 Pd2'
_cell_length_a 3.644
_cell_length_b 3.644
_cell_length_c 9.192
_cell_angle_alpha 90.00
_cell_angle_beta 90.00
_cell_angle_gamma 90.00
_space_group_name_H-M_alt 'I 4 m m'
_space_group_IT_number 107
_space_group_name_Hall 'I 4 -2'
loop_
_atom_site_label
_atom_site_type_symbol
_atom_site_fract_x
_atom_site_fract_y
_atom_site_fract_z
Lu1 Lu 0.000 0.000 0.000
Hg1 Hg 0.000 0.000 0.677
Pd1 Pd 0.000 0.000 0.348
# **Final energy**: -4.05 eV per atom
# **Calculated formation energy**: -0.72 eV/atom

# ScCo2Te | OQMD | PBE | optimized geometry
data_ScCo2Te
_chemical_formula_sum 'Sc4 Co8 Te4'
_cell_length_a 6.339
_cell_length_b 6.339
_cell_length_c 6.339
_cell_angle_alpha 90.00
_cell_angle_beta 90.00
_cell_angle_gamma 90.00
_space_group_name_H-M_alt 'F -4 3 m'
_space_group_IT_number 216
_space_group_name_Hall 'F -4 2 3'
loop_
_atom_site_label
_atom_site_type_symbol
_atom_site_fract_x
_atom_site_fract_y
_atom_site_fract_z
Sc1 Sc 0.000 0.000 0.000
Co1 Co 0.000 0.000 0.500
Co2 Co 0.250 0.250 0.750
Te1 Te 0.250 0.250 0.250
# **Final energy**: -5.82 eV per atom

# LuCuSnTe2S | OQMD | PBE | optimized geometry
data_LuCuSnTe2S
_chemical_formula_sum 'Lu4 Cu4 Sn4 Te8 S4'
_cell_length_a 4.148
_cell_length_b 14.283
_cell_length_c 10.133
_cell_angle_alpha 90.00
_cell_angle_beta 90.00
_cell_angle_gamma 90.00
_space_group_name_H-M_alt 'C m c m'
_space_group_IT_number 63
_space_group_name_Hall '-C 2c 2'
loop_
_atom_site_label
_atom_site_type_symbol
_atom_site_fract_x
_atom_site_fract_y
_atom_site_fract_z
Lu1 Lu 0.000 0.000 0.000
Cu1 Cu 0.000 0.483 0.250
Sn1 Sn 0.000 0.271 0.750
Te1 Te 0.000 0.353 0.062
S1 S 0.000 0.067 0.250
# **Final energy**: -4.53 eV per atom

# LiTc2Au | OQMD | PBE | optimized geometry
data_LiTc2Au
_chemical_formula_sum 'Li4 Tc8 Au4'
_cell_length_a 6.178
_cell_length_b 6.178
_cell_length_c 6.178
_cell_angle_alpha 90.00
_cell_angle_beta 90.00
_cell_angle_gamma 90.00
_space_group_name_H-M_alt 'F -4 3 m'
_space_group_IT_number 216
_space_group_name_Hall 'F -4 2 3'
loop_
_atom_site_label
_atom_site_type_symbol
_atom_site_fract_x
_atom_site_fract_y
_atom_site_fract_z
Li1 Li 0.000 0.000 0.000
Tc1 Tc 0.000 0.000 0.500
Tc2 Tc 0.250 0.250 0.750
Au1 Au 0.250 0.250 0.250
# **Final energy**: -6.23 eV per atom

# KGdCu4S4 | OQMD | PBE | optimized geometry
data_KGdCu4S4
_chemical_formula_sum 'K2 Gd2 Cu8 S8'
_cell_length_a 6.997
_cell_length_b 6.197
_cell_length_c 9.855
_cell_angle_alpha 90.00
_cell_angle_beta 107.63
_cell_angle_gamma 90.00
_space_group_name_H-M_alt 'P 1 21 1'
_space_group_IT_number 4
_space_group_name_Hall 'P 2yb'
loop_
_atom_site_label
_atom_site_type_symbol
_atom_site_fract_x
_atom_site_fract_y
_atom_site_fract_z
K1 K 0.107 0.000 0.131
Gd1 Gd 0.336 0.781 0.781
Cu1 Cu 0.163 0.667 0.423
Cu2 Cu 0.214 0.246 0.560
Cu3 Cu 0.349 0.210 0.914
Cu4 Cu 0.486 0.957 0.508
S1 S 0.040 0.550 0.600
S2 S 0.063 0.040 0.802
S3 S 0.357 0.531 0.013
S4 S 0.444 0.719 0.339
# **Final energy**: -4.42 eV per atom

# Gd3Al3Ni2Ir | OQMD | PBE | optimized geometry
data_Gd3Al3Ni2Ir
_chemical_formula_sum 'Gd3 Al3 Ni2 Ir1'
_cell_length_a 7.0365
_cell_length_b 7.0365
_cell_length_c 4.0063
_cell_angle_alpha 90.00
_cell_angle_beta 90.00
_cell_angle_gamma 120.00
_space_group_name_H-M_alt 'P -6 2 m'
_space_group_IT_number 189
_space_group_name_Hall 'P -6 -2'
loop_
_atom_site_label
_atom_site_type_symbol
_atom_site_fract_x
_atom_site_fract_y
_atom_site_fract_z
Gd1 Gd 0.0000 0.5782 0.0000
Al1 Al 0.0000 0.2376 0.5000
Ni1 Ni 0.3333 0.6667 0.5000
Ir1 Ir 0.0000 0.0000 0.0000
# **Final energy**: -5.70 eV per atom

# RbSmTmS3 | OQMD | PBE | optimized geometry
data_RbSmTmS3
_chemical_formula_sum 'Rb4 Sm4 Tm4 S12'
_cell_length_a 4.408
_cell_length_b 15.220
_cell_length_c 10.986
_cell_angle_alpha 90.00
_cell_angle_beta 90.00
_cell_angle_gamma 90.00
_space_group_name_H-M_alt 'C m c m'
_space_group_IT_number 63
_space_group_name_Hall '-C 2c 2'
loop_
_atom_site_label
_atom_site_type_symbol
_atom_site_fract_x
_atom_site_fract_y
_atom_site_fract_z
Rb1 Rb 0.000 0.237 0.250
Sm1 Sm 0.000 0.500 0.000
Tm1 Tm 0.000 0.031 0.750
S1 S 0.000 0.118 0.554
S2 S 0.000 0.443 0.750
# **Final energy**: -5.42 eV per atom